Dy2TmSbC: optimized geometry, PBE-GGA.

space-group type	P4/mmm

Unit cell a=4.8800 b=4.8800 c=4.7812 alpha=90.00 beta=90.00 gamma=90.00
Fractional positions:
Dy  0.0000  0.5000  0.0000
Dy  0.5000  0.0000  0.0000
Tm  0.0000  0.0000  0.5000
Sb  0.5000  0.5000  0.5000
C  0.0000  0.0000  0.0000


DyTm3Sb2C: optimized geometry, PBE-GGA.

space-group type	Immm

Unit cell a=4.7208 b=4.7839 c=15.5232 alpha=90.00 beta=90.00 gamma=90.00
Fractional positions:
Dy  0.0000  0.0000  0.0000
Dy  0.5000  0.5000  0.5000
Tm  0.0000  0.0000  0.5000
Tm  0.0000  0.5000  0.1559
Tm  0.0000  0.5000  0.8441
Tm  0.5000  0.0000  0.3441
Tm  0.5000  0.0000  0.6559
Tm  0.5000  0.5000  0.0000
Sb  0.0000  0.5000  0.3565
Sb  0.0000  0.5000  0.6435
Sb  0.5000  0.0000  0.1435
Sb  0.5000  0.0000  0.8565
C  0.0000  0.5000  0.0000
C  0.5000  0.0000  0.5000


Dy2Tm2Sb2C: optimized geometry, PBE-GGA.

space-group type	I4/mmm

Unit cell a=4.7114 b=4.7114 c=15.7574 alpha=90.00 beta=90.00 gamma=90.00
Fractional positions:
Dy  0.0000  0.0000  0.1585
Dy  0.0000  0.0000  0.8415
Dy  0.5000  0.5000  0.3415
Dy  0.5000  0.5000  0.6585
Tm  0.0000  0.5000  0.0000
Tm  0.0000  0.5000  0.5000
Tm  0.5000  0.0000  0.0000
Tm  0.5000  0.0000  0.5000
Sb  0.0000  0.0000  0.3590
Sb  0.0000  0.0000  0.6410
Sb  0.5000  0.5000  0.1410
Sb  0.5000  0.5000  0.8590
C  0.0000  0.0000  0.0000
C  0.5000  0.5000  0.5000


DyY3Sb2C: optimized geometry, PBE-GGA.

space-group type	Immm

Unit cell a=4.7932 b=4.7944 c=15.7733 alpha=90.00 beta=90.00 gamma=90.00
Fractional positions:
Dy  0.0000  0.0000  0.0000
Dy  0.5000  0.5000  0.5000
Y  0.0000  0.0000  0.5000
Y  0.0000  0.5000  0.1580
Y  0.0000  0.5000  0.8420
Y  0.5000  0.0000  0.3420
Y  0.5000  0.0000  0.6580
Y  0.5000  0.5000  0.0000
Sb  0.0000  0.5000  0.3579
Sb  0.0000  0.5000  0.6421
Sb  0.5000  0.0000  0.1421
Sb  0.5000  0.0000  0.8579
C  0.0000  0.5000  0.0000
C  0.5000  0.0000  0.5000


Dy2Y2Sb2C: optimized geometry, PBE-GGA.

space-group type	I4/mmm

Unit cell a=4.7919 b=4.7919 c=15.7662 alpha=90.00 beta=90.00 gamma=90.00
Fractional positions:
Dy  0.0000  0.5000  0.0000
Dy  0.0000  0.5000  0.5000
Dy  0.5000  0.0000  0.0000
Dy  0.5000  0.0000  0.5000
Y  0.0000  0.0000  0.1580
Y  0.0000  0.0000  0.8420
Y  0.5000  0.5000  0.3420
Y  0.5000  0.5000  0.6580
Sb  0.0000  0.0000  0.3580
Sb  0.0000  0.0000  0.6420
Sb  0.5000  0.5000  0.1420
Sb  0.5000  0.5000  0.8580
C  0.0000  0.0000  0.0000
C  0.5000  0.5000  0.5000


DyY2SbC: optimized geometry, PBE-GGA.

space-group type	P4/mmm

Unit cell a=4.8796 b=4.8796 c=4.8790 alpha=90.00 beta=90.00 gamma=90.00
Fractional positions:
Dy  0.0000  0.0000  0.0000
Y  0.0000  0.5000  0.5000
Y  0.5000  0.0000  0.5000
Sb  0.5000  0.5000  0.0000
C  0.0000  0.0000  0.5000


Number 1: ΔE_f (raw) -301 kJ/mol of formula units. Number 2: ΔE_f (raw) -508 kJ/mol of formula units. Number 3: ΔE_f (raw) -548 kJ/mol of formula units. Number 4: ΔE_f (raw) -540 kJ/mol of formula units. Number 5: ΔE_f (raw) -536 kJ/mol of formula units. Number 6: ΔE_f (raw) -308 kJ/mol of formula units.